[1]
Here is a relaxed structure of AcGaHgPb from Alexandria via LeMat-Bulk. Energies are from GGA-PBE.

Unit cell a=7.7107 b=7.7107 c=7.7107 alpha=90.00 beta=90.00 gamma=90.00
Closest atoms and distances in Å follow each position.
Sites, in units of the cell vectors:
Ac (0.0000, 0.0000, 0.0000)  4 Hg 3.34, 4 Ga 3.34
Ac (0.0000, 0.5000, 0.5000)  4 Hg 3.34, 4 Ga 3.34
Ac (0.5000, 0.0000, 0.5000)  4 Hg 3.34, 4 Ga 3.34
Ac (0.5000, 0.5000, 0.0000)  4 Hg 3.34, 4 Ga 3.34
Ga (0.2500, 0.2500, 0.7500)  4 Ac 3.34, 4 Pb 3.34
Ga (0.2500, 0.7500, 0.2500)  4 Ac 3.34, 4 Pb 3.34
Ga (0.7500, 0.2500, 0.2500)  4 Ac 3.34, 4 Pb 3.34
Ga (0.7500, 0.7500, 0.7500)  4 Pb 3.34, 4 Ac 3.34
Hg (0.2500, 0.2500, 0.2500)  4 Ac 3.34, 4 Pb 3.34
Hg (0.2500, 0.7500, 0.7500)  4 Ac 3.34, 4 Pb 3.34
Hg (0.7500, 0.2500, 0.7500)  4 Ac 3.34, 4 Pb 3.34
Hg (0.7500, 0.7500, 0.2500)  4 Ac 3.34, 4 Pb 3.34
Pb (0.0000, 0.0000, 0.5000)  4 Hg 3.34, 4 Ga 3.34
Pb (0.0000, 0.5000, 0.0000)  4 Hg 3.34, 4 Ga 3.34
Pb (0.5000, 0.0000, 0.0000)  4 Hg 3.34, 4 Ga 3.34
Pb (0.5000, 0.5000, 0.5000)  4 Hg 3.34, 4 Ga 3.34

Results
Size of the total moment (μB per formula unit): 0.000
Total energy (eV/atom): -3.131
Energy of formation from the pure elements (meV per atom): -344
Symmetry: F-43m, No. 216


[2]
Here is a relaxed structure of TlIn3Sn2Se8 from Alexandria via LeMat-Bulk. Energies are from GGA-PBE.

Unit cell a=8.5083 b=8.5083 c=8.5083 alpha=58.88 beta=58.88 gamma=58.88
Closest atoms and distances in Å follow each position.
Sites, in units of the cell vectors:
Tl (0.0000, 0.0000, 0.0000)  4 Se 2.83-2.91
In (0.3751, 0.3751, 0.8760)  6 Se 2.80-2.82
In (0.3751, 0.8760, 0.3751)  6 Se 2.80-2.82
In (0.8760, 0.3751, 0.3751)  6 Se 2.80-2.82
Sn (0.3743, 0.3743, 0.3743)  6 Se 2.92-3.01
Sn (0.7530, 0.7530, 0.7530)  4 Se 2.75-2.98
Se (0.1313, 0.1313, 0.5876)  2 In 2.80, 1 Tl 2.83, 1 Sn 2.92
Se (0.1313, 0.5876, 0.1313)  2 In 2.80, 1 Tl 2.83, 1 Sn 2.92
Se (0.1387, 0.1387, 0.1387)  3 In 2.82, 1 Tl 2.91
Se (0.1535, 0.6253, 0.6253)  2 Sn 2.75-3.01, 2 In 2.82
Se (0.5876, 0.1313, 0.1313)  2 In 2.80, 1 Tl 2.83, 1 Sn 2.92
Se (0.6110, 0.6110, 0.6110)  3 In 2.82, 1 Sn 2.98
Se (0.6253, 0.1535, 0.6253)  2 Sn 2.75-3.01, 2 In 2.82
Se (0.6253, 0.6253, 0.1535)  2 Sn 2.75-3.01, 2 In 2.82

Results
Size of the total moment (μB per formula unit): 0.000
Total energy (eV/atom): -3.705
Formation energy (no corrections) (meV/atom): -387
Symmetry: R3m, No. 160